## LuCoPO (PBE with a Hubbard U)

Data for a relaxed structure of LuCoPO.

Calculated values
offset from the most stable computed form	0.0000	eV/atom
SG	P4/nmm (129)

```
data_LuCoPO
_cell_length_a 3.791
_cell_length_b 3.791
_cell_length_c 7.566
_cell_angle_alpha 90.00
_cell_angle_beta 90.00
_cell_angle_gamma 90.00
_symmetry_space_group_name_H-M 'P 1'
_symmetry_Int_Tables_number 1
loop_
_symmetry_equiv_pos_as_xyz
'x,y,z'
loop_
_atom_site_label
_atom_site_fract_x
_atom_site_fract_y
_atom_site_fract_z
O1 0.000 0.000 0.000
Co1 0.000 0.000 0.500
P1 0.000 0.500 0.642
Co2 0.500 0.500 0.500
O2 0.500 0.500 0.000
Lu1 0.500 0.000 0.858
Lu2 0.000 0.500 0.142
P2 0.500 0.000 0.358
```